A relaxed structure of Nb6SnS8, computed with PBE-GGA.

Cell: 6.7413 6.7413 6.7413 Å, 88.73 88.73 88.73°
Fractional positions:
Nb 0.5563 0.2057 0.4075
S 0.6022 0.8682 0.2576
S 0.3978 0.1318 0.7424
Sn 0.0000 0.0000 0.0000
Nb 0.4075 0.5563 0.2057
S 0.1318 0.7424 0.3978
Nb 0.4437 0.7943 0.5925
S 0.8682 0.2576 0.6022
S 0.2576 0.6022 0.8682
Nb 0.7943 0.5925 0.4437
S 0.2350 0.2350 0.2350
Nb 0.2057 0.4075 0.5563
S 0.7424 0.3978 0.1318
Nb 0.5925 0.4437 0.7943
S 0.7650 0.7650 0.7650

Properties
VASP energy = -110.1 eV per cell
ΔE_f (raw) = -0.842 eV/atom